*w*
BaY3Zr: optimized geometry, PBE-GGA.

a = 5.782 Å, b = 5.782 Å, c = 5.782 Å
α = 90.00°, β = 90.00°, γ = 90.00°
Fractional coordinates of all 5 atoms:
Ba  0.500  0.500  0.500
Y  0.500  0.000  0.000
Y  0.000  0.500  0.000
Y  0.000  0.000  0.500
Zr  0.000  0.000  0.000

Output
Symmetry   Pm-3m, No. 221

---

*x*
BaY3Zr: optimized geometry, PBE-GGA.

a = 5.596 Å, b = 5.596 Å, c = 5.596 Å
α = 90.00°, β = 90.00°, γ = 90.00°
Fractional coordinates of all 5 atoms:
Y  0.000  0.500  0.000
Y  0.000  0.000  0.500
Y  0.500  0.000  0.000
Zr  0.500  0.500  0.500
Ba  0.000  0.000  0.000

Output
Symmetry   Pm-3m, No. 221

---

Stability ranking, top and bottom: *w* is the most stable and *x* is the least stable.

---

*w*
Ba5Zn: optimized geometry, PBE-GGA.

a = 4.268 Å, b = 4.268 Å, c = 17.617 Å
α = 90.00°, β = 90.00°, γ = 90.00°
Fractional coordinates of all 6 atoms:
Zn  0.500  0.500  0.000
Ba  0.500  0.500  0.307
Ba  0.000  0.000  0.109
Ba  0.500  0.500  0.693
Ba  0.000  0.000  0.500
Ba  0.000  0.000  0.891

Output
Symmetry   P4/mmm, No. 123

---

*x*
Ba5Zn: optimized geometry, PBE-GGA.

a = 7.807 Å, b = 7.807 Å, c = 7.439 Å
α = 90.00°, β = 90.00°, γ = 120.00°
Fractional coordinates of all 6 atoms:
Ba  0.000  0.500  0.500
Ba  0.667  0.333  0.000
Ba  0.333  0.667  0.000
Ba  0.500  0.000  0.500
Ba  0.500  0.500  0.500
Zn  0.000  0.000  0.000

Output
Symmetry   P6/mmm, No. 191

---

*y*
Ba5Zn: optimized geometry, PBE-GGA.

a = 8.545 Å, b = 8.545 Å, c = 6.319 Å
α = 90.00°, β = 90.00°, γ = 137.80°
Fractional coordinates of all 6 atoms:
Zn  0.500  0.500  0.000
Ba  0.144  0.856  0.000
Ba  0.653  0.347  0.500
Ba  0.856  0.144  0.000
Ba  0.000  0.000  0.500
Ba  0.347  0.653  0.500

Output
Symmetry   Cmmm, No. 65

---

Stability ranking, top and bottom: *w* is the most stable and *x* is the least stable.

---

*w*
Ba5Zn: optimized geometry, PBE-GGA.

a = 7.994 Å, b = 7.994 Å, c = 7.994 Å
α = 60.00°, β = 60.00°, γ = 60.00°
Fractional coordinates of all 6 atoms:
Ba  0.626  0.123  0.626
Ba  0.250  0.250  0.250
Ba  0.123  0.626  0.626
Ba  0.626  0.626  0.626
Ba  0.626  0.626  0.123
Zn  0.000  0.000  0.000

Output
Symmetry   F-43m, No. 216

---

*x*
Ba5Zn: optimized geometry, PBE-GGA.

a = 7.825 Å, b = 7.825 Å, c = 10.749 Å
α = 67.48°, β = 67.48°, γ = 31.83°
Fractional coordinates of all 6 atoms:
Ba  0.069  0.069  0.986
Ba  0.359  0.359  0.837
Ba  0.030  0.030  0.386
Ba  0.695  0.695  0.611
Ba  0.320  0.320  0.236
Zn  0.694  0.694  0.112

Output
Symmetry   Cm, No. 8

---

*y*
Ba5Zn: optimized geometry, PBE-GGA.

a = 10.241 Å, b = 10.241 Å, c = 6.653 Å
α = 90.00°, β = 90.00°, γ = 153.26°
Fractional coordinates of all 6 atoms:
Ba  0.309  0.691  0.000
Ba  0.775  0.225  0.500
Ba  0.639  0.361  0.000
Ba  0.503  0.497  0.500
Ba  0.968  0.032  0.000
Zn  0.139  0.861  0.500

Output
Symmetry   Amm2, No. 38

---

Stability ranking, top and bottom: *x* is the most stable and *w* is the least stable.

---

*w*
Ba4Zn3: optimized geometry, PBE-GGA.

a = 5.827 Å, b = 5.827 Å, c = 10.072 Å
α = 73.19°, β = 73.19°, γ = 60.00°
Fractional coordinates of all 7 atoms:
Ba  0.373  0.373  0.881
Ba  0.627  0.627  0.119
Ba  0.123  0.123  0.632
Ba  0.877  0.877  0.368
Zn  0.750  0.750  0.751
Zn  0.000  0.000  0.000
Zn  0.250  0.250  0.249

Output
Symmetry   R-3m, No. 166

---

*x*
Ba4Zn3: optimized geometry, PBE-GGA.

a = 16.452 Å, b = 16.452 Å, c = 16.452 Å
α = 165.43°, β = 165.43°, γ = 20.66°
Fractional coordinates of all 7 atoms:
Zn  0.000  0.000  0.000
Zn  0.726  0.726  0.000
Zn  0.274  0.274  0.000
Ba  0.827  0.827  0.000
Ba  0.440  0.440  0.000
Ba  0.560  0.560  0.000
Ba  0.173  0.173  0.000

Output
Symmetry   I4/mmm, No. 139

---

Stability ranking, top and bottom: *w* is the most stable and *x* is the least stable.

---

*w*
BaZn4: optimized geometry, PBE-GGA.

a = 6.576 Å, b = 6.576 Å, c = 6.576 Å
α = 90.00°, β = 90.00°, γ = 90.00°
Fractional coordinates of all 5 atoms:
Zn  0.500  0.000  0.500
Zn  0.500  0.500  0.000
Zn  0.000  0.000  0.000
Zn  0.000  0.500  0.500
Ba  0.500  0.500  0.500

Output
Symmetry   Pm-3m, No. 221

---

*x*
BaZn4: optimized geometry, PBE-GGA.

a = 6.383 Å, b = 6.383 Å, c = 6.383 Å
α = 138.37°, β = 138.37°, γ = 60.34°
Fractional coordinates of all 5 atoms:
Zn  0.250  0.750  0.500
Zn  0.628  0.628  0.000
Zn  0.372  0.372  0.000
Zn  0.750  0.250  0.500
Ba  0.000  0.000  0.000

Output
Symmetry   I4/mmm, No. 139

---

Stability ranking, top and bottom: *x* is the most stable and *w* is the least stable.

---

*w*
BaZrZn: optimized geometry, PBE-GGA.

a = 4.668 Å, b = 4.668 Å, c = 5.140 Å
α = 90.00°, β = 90.00°, γ = 120.00°
Fractional coordinates of all 3 atoms:
Zn  0.667  0.333  0.500
Zr  0.333  0.667  0.500
Ba  0.000  0.000  0.000

Output
Symmetry   P-6m2, No. 187

---

*x*
BaZrZn: optimized geometry, PBE-GGA.

a = 5.174 Å, b = 5.174 Å, c = 5.174 Å
α = 60.00°, β = 60.00°, γ = 60.00°
Fractional coordinates of all 3 atoms:
Zr  0.000  0.000  0.000
Ba  0.500  0.500  0.500
Zn  0.750  0.750  0.750

Output
Symmetry   F-43m, No. 216

---

*y*
BaZrZn: optimized geometry, PBE-GGA.

a = 5.043 Å, b = 5.043 Å, c = 8.181 Å
α = 90.00°, β = 90.00°, γ = 90.00°
Fractional coordinates of all 6 atoms:
Zn  0.500  0.500  0.500
Zn  0.000  0.000  0.500
Zr  0.000  0.500  0.384
Zr  0.500  0.000  0.616
Ba  0.000  0.500  0.823
Ba  0.500  0.000  0.177

Output
Symmetry   P4/nmm, No. 129

---

*z*
BaZrZn: optimized geometry, PBE-GGA.

a = 8.441 Å, b = 4.611 Å, c = 9.281 Å
α = 90.00°, β = 90.00°, γ = 90.00°
Fractional coordinates of all 12 atoms:
Zn  0.783  0.250  0.372
Zn  0.283  0.250  0.128
Zn  0.717  0.750  0.872
Zn  0.217  0.750  0.628
Zr  0.100  0.250  0.444
Zr  0.600  0.250  0.056
Zr  0.400  0.750  0.944
Zr  0.900  0.750  0.556
Ba  0.039  0.250  0.835
Ba  0.961  0.750  0.165
Ba  0.539  0.250  0.665
Ba  0.461  0.750  0.335

Output
Symmetry   Pnma, No. 62

---

Stability ranking, top and bottom: *z* is the most stable and *x* is the least stable.

---

*w*
BaZrZn: optimized geometry, PBE-GGA.

a = 3.597 Å, b = 3.597 Å, c = 7.764 Å
α = 90.00°, β = 90.00°, γ = 120.00°
Fractional coordinates of all 3 atoms:
Ba  0.000  0.000  0.019
Zn  0.333  0.667  0.366
Zr  0.667  0.333  0.615

Output
Symmetry   P3m1, No. 156

---

*x*
BaZrZn: optimized geometry, PBE-GGA.

a = 7.167 Å, b = 7.167 Å, c = 3.608 Å
α = 75.42°, β = 75.43°, γ = 29.16°
Fractional coordinates of all 3 atoms:
Zr  0.710  0.710  0.290
Ba  0.989  0.989  0.011
Zn  0.301  0.301  0.699

Output
Symmetry   I4mm, No. 107

---

Stability ranking, top and bottom: *x* is the most stable and *w* is the least stable.

---

*w*
BaZrZn: optimized geometry, PBE-GGA.

a = 12.980 Å, b = 3.692 Å, c = 3.693 Å
α = 90.00°, β = 90.01°, γ = 89.98°
Fractional coordinates of all 6 atoms:
Zn  0.763  0.744  0.789
Zn  0.098  0.243  0.289
Ba  0.282  0.742  0.789
Ba  0.579  0.243  0.288
Zr  0.001  0.743  0.789
Zr  0.860  0.243  0.289

Output
Symmetry   P4/nmm, No. 129

---

*x*
BaZrZn: optimized geometry, PBE-GGA.

a = 9.529 Å, b = 4.239 Å, c = 9.575 Å
α = 90.00°, β = 90.00°, γ = 90.00°
Fractional coordinates of all 12 atoms:
Ba  0.172  0.750  0.560
Ba  0.828  0.250  0.440
Ba  0.672  0.750  0.940
Ba  0.328  0.250  0.060
Zn  0.912  0.250  0.787
Zn  0.588  0.750  0.287
Zn  0.412  0.250  0.713
Zn  0.088  0.750  0.213
Zr  0.058  0.750  0.909
Zr  0.442  0.250  0.409
Zr  0.942  0.250  0.091
Zr  0.558  0.750  0.591

Output
Symmetry   Pnma, No. 62

---

Stability ranking, top and bottom: *w* is the most stable and *x* is the least stable.

---

*w*
BaZrZn2: optimized geometry, PBE-GGA.

a = 8.071 Å, b = 8.071 Å, c = 6.748 Å
α = 53.27°, β = 53.27°, γ = 90.00°
Fractional coordinates of all 8 atoms:
Zn  0.568  0.125  0.250
Zn  0.375  0.432  0.750
Zn  0.182  0.625  0.250
Zn  0.875  0.818  0.750
Zr  0.500  0.500  0.000
Zr  0.250  0.750  0.500
Ba  0.750  0.250  0.500
Ba  0.000  0.000  0.000

Output
Symmetry   I-42d, No. 122

---

*x*
BaZrZn2: optimized geometry, PBE-GGA.

a = 3.577 Å, b = 3.559 Å, c = 8.523 Å
α = 65.35°, β = 90.00°, γ = 90.00°
Fractional coordinates of all 4 atoms:
Zr  0.500  0.250  0.250
Zn  0.000  0.567  0.434
Zn  0.000  0.933  0.066
Ba  0.500  0.750  0.750

Output
Symmetry   Pmmm, No. 47

---

Stability ranking, top and bottom: *x* is the most stable and *w* is the least stable.

---

*w*
BaZrZn2: optimized geometry, PBE-GGA.

a = 5.987 Å, b = 5.987 Å, c = 5.987 Å
α = 136.90°, β = 136.90°, γ = 62.60°
Fractional coordinates of all 4 atoms:
Zn  0.250  0.750  0.500
Zn  0.000  0.000  0.000
Zr  0.500  0.500  0.000
Ba  0.750  0.250  0.500

Output
Symmetry   I-4m2, No. 119

---

*x*
BaZrZn2: optimized geometry, PBE-GGA.

a = 4.436 Å, b = 3.470 Å, c = 7.016 Å
α = 75.77°, β = 90.00°, γ = 90.00°
Fractional coordinates of all 4 atoms:
Ba  0.500  0.793  0.787
Zn  0.500  0.052  0.273
Zn  0.000  0.158  0.059
Zr  0.000  0.498  0.381

Output
Symmetry   Pm, No. 6

---

Stability ranking, top and bottom: *x* is the most stable and *w* is the least stable.

---

*w*
BaZrZn2: optimized geometry, PBE-GGA.

a = 9.490 Å, b = 9.490 Å, c = 9.490 Å
α = 21.90°, β = 21.90°, γ = 21.90°
Fractional coordinates of all 4 atoms:
Zn  0.513  0.513  0.513
Zn  0.987  0.987  0.987
Zr  0.250  0.250  0.250
Ba  0.750  0.750  0.750

Output
Symmetry   R-3m, No. 166

---

*x*
BaZrZn2: optimized geometry, PBE-GGA.

a = 3.395 Å, b = 3.395 Å, c = 8.727 Å
α = 90.00°, β = 90.00°, γ = 90.00°
Fractional coordinates of all 4 atoms:
Ba  0.500  0.500  0.779
Zn  0.000  0.000  0.072
Zn  0.500  0.500  0.233
Zr  0.000  0.000  0.415

Output
Symmetry   P4mm, No. 99

---

Stability ranking, top and bottom: *x* is the most stable and *w* is the least stable.